# 1
# Na3Tb3TiS8 (PBE, optimized geometry)
data_Na3Tb3TiS8
_chemical_formula_sum 'Na9 Tb9 Ti3 S24'
_space_group_name_H-M_alt 'R -3 m'
_space_group_IT_number 166
_space_group_name_Hall '-R 3 2"'
_cell_length_a 7.8062
_cell_length_b 7.8062
_cell_length_c 20.2547
_cell_angle_alpha 90.00
_cell_angle_beta 90.00
_cell_angle_gamma 120.00
loop_
_atom_site_label
_atom_site_type_symbol
_atom_site_fract_x
_atom_site_fract_y
_atom_site_fract_z
Na1 Na 0.0000 0.5000 0.0000
Tb1 Tb 0.0000 0.5000 0.5000
Ti1 Ti 0.0000 0.0000 0.5000
S1 S 0.0000 0.0000 0.2432
S2 S 0.0292 0.5146 0.2370
# Energy   -5.620 eV per atom
# Energy relative to the elements, uncorrected   -1.70 eV per atom

=====

# 2
# BaTa2W (PBE, optimized geometry)
data_BaTa2W
_chemical_formula_sum 'Ba1 Ta2 W1'
_space_group_name_H-M_alt 'P 4 m m'
_space_group_IT_number 99
_cell_length_a 2.8863
_cell_length_b 2.8863
_cell_length_c 10.6811
_cell_angle_alpha 90.00
_cell_angle_beta 90.00
_cell_angle_gamma 90.00
loop_
_space_group_symop_operation_xyz
'x,y,z'
'-y,x,z'
'-x,-y,z'
'y,-x,z'
'-x,y,z'
'y,x,z'
'x,-y,z'
'-y,-x,z'
loop_
_atom_site_label
_atom_site_type_symbol
_atom_site_fract_x
_atom_site_fract_y
_atom_site_fract_z
Ba1 Ba 0.0000 0.0000 0.0000
Ta1 Ta 0.0000 0.0000 0.5131
Ta2 Ta 0.5000 0.5000 0.3062
W1 W 0.5000 0.5000 0.7222
# Formation energy from the elements   0.9128 eV per atom
# Energy   -8.733 eV per atom

=====

# 3
# Nd3CuN (PBE, optimized geometry)
data_Nd3CuN
_chemical_formula_sum 'Nd3 Cu1 N1'
_space_group_name_H-M_alt 'P m -3 m'
_space_group_IT_number 221
_space_group_name_Hall '-P 4 2 3'
_cell_length_a 4.9607
_cell_length_b 4.9607
_cell_length_c 4.9607
_cell_angle_alpha 90.00
_cell_angle_beta 90.00
_cell_angle_gamma 90.00
loop_
_atom_site_label
_atom_site_type_symbol
_atom_site_fract_x
_atom_site_fract_y
_atom_site_fract_z
Nd1 Nd 0.0000 0.0000 0.5000
Cu1 Cu 0.5000 0.5000 0.5000
N1 N 0.0000 0.0000 0.0000
# Energy   -5.802 eV per atom
# Energy relative to the elements, uncorrected   -0.46 eV per atom

=====

# 4
# CsIn2Hg2 (PBE, optimized geometry)
data_CsIn2Hg2
_chemical_formula_sum 'Cs2 In4 Hg4'
_space_group_name_H-M_alt 'I 4/m m m'
_space_group_IT_number 139
_space_group_name_Hall '-I 4 2'
_cell_length_a 5.0357
_cell_length_b 5.0357
_cell_length_c 13.4043
_cell_angle_alpha 90.00
_cell_angle_beta 90.00
_cell_angle_gamma 90.00
loop_
_atom_site_label
_atom_site_type_symbol
_atom_site_fract_x
_atom_site_fract_y
_atom_site_fract_z
Cs1 Cs 0.0000 0.0000 0.0000
In1 In 0.0000 0.5000 0.2500
Hg1 Hg 0.0000 0.0000 0.3809
# Formation energy from the elements   -0.1395 eV per atom
# Energy   -1.526 eV per atom

=====

# 5
# Cs2PaSnTe4 (PBE, optimized geometry)
data_Cs2PaSnTe4
_chemical_formula_sum 'Cs2 Pa1 Sn1 Te4'
_space_group_name_H-M_alt 'P 1 2/m 1'
_space_group_IT_number 10
_cell_length_a 8.1961
_cell_length_b 4.6499
_cell_length_c 9.1758
_cell_angle_alpha 90.00
_cell_angle_beta 106.46
_cell_angle_gamma 90.00
loop_
_space_group_symop_operation_xyz
'x,y,z'
'-x,-y,-z'
'-x,y,-z'
'x,-y,z'
loop_
_atom_site_label
_atom_site_type_symbol
_atom_site_fract_x
_atom_site_fract_y
_atom_site_fract_z
Cs1 Cs 0.0000 0.0000 0.0000
Cs2 Cs 0.5000 0.5000 0.0000
Pa1 Pa 0.0000 0.5000 0.5000
Sn1 Sn 0.5000 0.0000 0.5000
Te1 Te 0.2204 0.0000 0.6880
Te2 Te 0.2553 0.5000 0.3110
# Energy   -4.319 eV per atom
# Energy relative to the elements, uncorrected   -0.85 eV per atom

=====

# 6
# BaCr2As (PBE, optimized geometry)
data_BaCr2As
_chemical_formula_sum 'Ba4 Cr8 As4'
_space_group_name_H-M_alt 'F -4 3 m'
_space_group_IT_number 216
_space_group_name_Hall 'F -4 2 3'
_cell_length_a 7.4292
_cell_length_b 7.4292
_cell_length_c 7.4292
_cell_angle_alpha 90.00
_cell_angle_beta 90.00
_cell_angle_gamma 90.00
loop_
_atom_site_label
_atom_site_type_symbol
_atom_site_fract_x
_atom_site_fract_y
_atom_site_fract_z
Ba1 Ba 0.0000 0.0000 0.0000
Cr1 Cr 0.0000 0.0000 0.5000
Cr2 Cr 0.2500 0.2500 0.2500
As1 As 0.2500 0.2500 0.7500
# Formation energy from the elements   0.6341 eV per atom
# Energy   -5.821 eV per atom

=====

# 7
# AcPrHgIr (PBE, optimized geometry)
data_AcPrHgIr
_chemical_formula_sum 'Ac1 Pr1 Hg1 Ir1'
_space_group_name_H-M_alt 'P 3 m 1'
_space_group_IT_number 156
_cell_length_a 4.3408
_cell_length_b 4.3408
_cell_length_c 7.8467
_cell_angle_alpha 90.00
_cell_angle_beta 90.00
_cell_angle_gamma 120.00
loop_
_space_group_symop_operation_xyz
'x,y,z'
'-y,x-y,z'
'-x+y,-x,z'
'-y,-x,z'
'-x+y,y,z'
'x,x-y,z'
loop_
_atom_site_label
_atom_site_type_symbol
_atom_site_fract_x
_atom_site_fract_y
_atom_site_fract_z
Ac1 Ac 0.0000 0.0000 0.0000
Pr1 Pr 0.6667 0.3333 0.6054
Hg1 Hg 0.3333 0.6667 0.3207
Ir1 Ir 0.3333 0.6667 0.7924
# Formation energy from the elements   -0.5623 eV per atom
# Energy   -5.075 eV per atom

=====

# 8
# CoTe2RuI (PBE, optimized geometry)
data_CoTe2RuI
_chemical_formula_sum 'Co1 Te2 Ru1 I1'
_space_group_name_H-M_alt 'P 4/m m m'
_space_group_IT_number 123
_space_group_name_Hall '-P 4 2'
_cell_length_a 5.1150
_cell_length_b 5.1150
_cell_length_c 5.6047
_cell_angle_alpha 90.00
_cell_angle_beta 90.00
_cell_angle_gamma 90.00
loop_
_atom_site_label
_atom_site_type_symbol
_atom_site_fract_x
_atom_site_fract_y
_atom_site_fract_z
Co1 Co 0.0000 0.0000 0.0000
Te1 Te 0.0000 0.5000 0.5000
Ru1 Ru 0.5000 0.5000 0.5000
I1 I 0.5000 0.5000 0.0000
# Energy   -3.842 eV per atom
# Energy relative to the elements, uncorrected   1.00 eV per atom

=====

# 9
# Pr3DyTh2As6 (PBE, optimized geometry)
data_Pr3DyTh2As6
_chemical_formula_sum 'Pr6 Dy2 Th4 As12'
_space_group_name_H-M_alt 'C 1 2/m 1'
_space_group_IT_number 12
_cell_length_a 18.5866
_cell_length_b 4.2642
_cell_length_c 8.5173
_cell_angle_alpha 90.00
_cell_angle_beta 103.48
_cell_angle_gamma 90.00
loop_
_space_group_symop_operation_xyz
'x,y,z'
'-x,-y,-z'
'-x,y,-z'
'x,-y,z'
'x+1/2,y+1/2,z'
'-x+1/2,-y+1/2,-z'
'-x+1/2,y+1/2,-z'
'x+1/2,-y+1/2,z'
loop_
_atom_site_label
_atom_site_type_symbol
_atom_site_fract_x
_atom_site_fract_y
_atom_site_fract_z
Pr1 Pr 0.0000 0.0000 0.0000
Pr2 Pr 0.1661 0.5000 0.3344
Dy1 Dy 0.0000 0.0000 0.5000
Th1 Th 0.1647 0.5000 0.8302
As1 As 0.0009 0.5000 0.7426
As2 As 0.1637 0.0000 0.5853
As3 As 0.1683 0.0000 0.0800
# Formation energy from the elements   -1.4902 eV per atom
# Energy   -6.630 eV per atom

=====

# 10
# Nd2Ho5Te4 (PBE, optimized geometry)
data_Nd2Ho5Te4
_chemical_formula_sum 'Nd4 Ho10 Te8'
_space_group_name_H-M_alt 'C 1 2/m 1'
_space_group_IT_number 12
_cell_length_a 19.1825
_cell_length_b 3.9076
_cell_length_c 9.6848
_cell_angle_alpha 90.00
_cell_angle_beta 103.15
_cell_angle_gamma 90.00
loop_
_space_group_symop_operation_xyz
'x,y,z'
'-x,-y,-z'
'-x,y,-z'
'x,-y,z'
'x+1/2,y+1/2,z'
'-x+1/2,-y+1/2,-z'
'-x+1/2,y+1/2,-z'
'x+1/2,-y+1/2,z'
loop_
_atom_site_label
_atom_site_type_symbol
_atom_site_fract_x
_atom_site_fract_y
_atom_site_fract_z
Nd1 Nd 0.1645 0.0000 0.4272
Ho1 Ho 0.0000 0.0000 0.5000
Ho2 Ho 0.0903 0.5000 0.0784
Ho3 Ho 0.1321 0.5000 0.7210
Te1 Te 0.0189 0.0000 0.8252
Te2 Te 0.2413 0.5000 0.2428
# Energy   -4.801 eV per atom
# Energy relative to the elements, uncorrected   -0.71 eV per atom

=====

# 11
# Ga2PbF (PBE, optimized geometry)
data_Ga2PbF
_chemical_formula_sum 'Ga8 Pb4 F4'
_space_group_name_H-M_alt 'I -4 2 d'
_space_group_IT_number 122
_space_group_name_Hall 'I -4 2bw'
_cell_length_a 5.0024
_cell_length_b 5.0024
_cell_length_c 14.9663
_cell_angle_alpha 90.00
_cell_angle_beta 90.00
_cell_angle_gamma 90.00
loop_
_atom_site_label
_atom_site_type_symbol
_atom_site_fract_x
_atom_site_fract_y
_atom_site_fract_z
Ga1 Ga 0.1097 0.2500 0.1250
Pb1 Pb 0.0000 0.0000 0.5000
F1 F 0.0000 0.0000 0.0000
# Energy   -3.457 eV per atom
# Energy relative to the elements, uncorrected   -0.55 eV per atom

=====

# 12
# CaZrAs2 (PBE, optimized geometry)
data_CaZrAs2
_chemical_formula_sum 'Ca4 Zr4 As8'
_space_group_name_H-M_alt 'F -4 3 m'
_space_group_IT_number 216
_space_group_name_Hall 'F -4 2 3'
_cell_length_a 6.9582
_cell_length_b 6.9582
_cell_length_c 6.9582
_cell_angle_alpha 90.00
_cell_angle_beta 90.00
_cell_angle_gamma 90.00
loop_
_atom_site_label
_atom_site_type_symbol
_atom_site_fract_x
_atom_site_fract_y
_atom_site_fract_z
Ca1 Ca 0.0000 0.0000 0.0000
Zr1 Zr 0.2500 0.2500 0.2500
As1 As 0.0000 0.0000 0.5000
As2 As 0.2500 0.2500 0.7500
# Formation energy from the elements   -0.0469 eV per atom
# Energy   -5.009 eV per atom

=====

# 13
# Er3Ga2Co3B (PBE, optimized geometry)
data_Er3Ga2Co3B
_chemical_formula_sum 'Er3 Ga2 Co3 B1'
_space_group_name_H-M_alt 'P -6 2 m'
_space_group_IT_number 189
_space_group_name_Hall 'P -6 -2'
_cell_length_a 6.9878
_cell_length_b 6.9878
_cell_length_c 3.5066
_cell_angle_alpha 90.00
_cell_angle_beta 90.00
_cell_angle_gamma 120.00
loop_
_atom_site_label
_atom_site_type_symbol
_atom_site_fract_x
_atom_site_fract_y
_atom_site_fract_z
Er1 Er 0.0000 0.6333 0.0000
Ga1 Ga 0.3333 0.6667 0.5000
Co1 Co 0.0000 0.2060 0.5000
B1 B 0.0000 0.0000 0.0000
# Formation energy from the elements   -0.3336 eV per atom
# Energy   -5.638 eV per atom

=====

# 14
# Cr2GaSi2 (PBE, optimized geometry)
data_Cr2GaSi2
_chemical_formula_sum 'Cr4 Ga2 Si4'
_space_group_name_H-M_alt 'P 4/m b m'
_space_group_IT_number 127
_space_group_name_Hall '-P 4 2ab'
_cell_length_a 6.5141
_cell_length_b 6.5141
_cell_length_c 2.9945
_cell_angle_alpha 90.00
_cell_angle_beta 90.00
_cell_angle_gamma 90.00
loop_
_atom_site_label
_atom_site_type_symbol
_atom_site_fract_x
_atom_site_fract_y
_atom_site_fract_z
Cr1 Cr 0.1639 0.3361 0.0000
Ga1 Ga 0.0000 0.0000 0.5000
Si1 Si 0.1305 0.6305 0.5000
# Energy   -6.603 eV per atom
# Energy relative to the elements, uncorrected   0.02 eV per atom

=====

# 15
# BeCdCu2 (PBE, optimized geometry)
data_BeCdCu2
_chemical_formula_sum 'Be4 Cd4 Cu8'
_space_group_name_H-M_alt 'F -4 3 m'
_space_group_IT_number 216
_space_group_name_Hall 'F -4 2 3'
_cell_length_a 5.9689
_cell_length_b 5.9689
_cell_length_c 5.9689
_cell_angle_alpha 90.00
_cell_angle_beta 90.00
_cell_angle_gamma 90.00
loop_
_atom_site_label
_atom_site_type_symbol
_atom_site_fract_x
_atom_site_fract_y
_atom_site_fract_z
Be1 Be 0.0000 0.0000 0.0000
Cd1 Cd 0.2500 0.2500 0.2500
Cu1 Cu 0.0000 0.0000 0.5000
Cu2 Cu 0.2500 0.2500 0.7500
# Formation energy from the elements   0.1851 eV per atom
# Energy   -3.023 eV per atom

=====

# 16
# TeAs4Os (PBE, optimized geometry)
data_TeAs4Os
_chemical_formula_sum 'Te4 As16 Os4'
_space_group_name_H-M_alt 'F -4 3 m'
_space_group_IT_number 216
_space_group_name_Hall 'F -4 2 3'
_cell_length_a 7.7992
_cell_length_b 7.7992
_cell_length_c 7.7992
_cell_angle_alpha 90.00
_cell_angle_beta 90.00
_cell_angle_gamma 90.00
loop_
_atom_site_label
_atom_site_type_symbol
_atom_site_fract_x
_atom_site_fract_y
_atom_site_fract_z
Te1 Te 0.0000 0.0000 0.0000
As1 As 0.1255 0.1255 0.6255
Os1 Os 0.2500 0.2500 0.2500
# Energy   -4.389 eV per atom
# Energy relative to the elements, uncorrected   1.11 eV per atom

=====

# 17
# RbSn2Ir (PBE, optimized geometry)
data_RbSn2Ir
_chemical_formula_sum 'Rb4 Sn8 Ir4'
_space_group_name_H-M_alt 'I -4 2 d'
_space_group_IT_number 122
_space_group_name_Hall 'I -4 2bw'
_cell_length_a 6.8700
_cell_length_b 6.8700
_cell_length_c 14.4697
_cell_angle_alpha 90.00
_cell_angle_beta 90.00
_cell_angle_gamma 90.00
loop_
_atom_site_label
_atom_site_type_symbol
_atom_site_fract_x
_atom_site_fract_y
_atom_site_fract_z
Rb1 Rb 0.0000 0.0000 0.0000
Sn1 Sn 0.0013 0.2500 0.6250
Ir1 Ir 0.0000 0.0000 0.5000
# Formation energy from the elements   -0.0130 eV per atom
# Energy   -4.472 eV per atom

=====

# 18
# FeRuSCl2 (PBE, optimized geometry)
data_FeRuSCl2
_chemical_formula_sum 'Fe1 Ru1 S1 Cl2'
_space_group_name_H-M_alt 'P 4/m m m'
_space_group_IT_number 123
_space_group_name_Hall '-P 4 2'
_cell_length_a 4.7085
_cell_length_b 4.7085
_cell_length_c 4.2506
_cell_angle_alpha 90.00
_cell_angle_beta 90.00
_cell_angle_gamma 90.00
loop_
_atom_site_label
_atom_site_type_symbol
_atom_site_fract_x
_atom_site_fract_y
_atom_site_fract_z
Fe1 Fe 0.0000 0.0000 0.0000
Ru1 Ru 0.5000 0.5000 0.5000
S1 S 0.0000 0.0000 0.5000
Cl1 Cl 0.0000 0.5000 0.0000
# Energy   -4.427 eV per atom
# Energy relative to the elements, uncorrected   0.68 eV per atom

=====

# 19
# CaHo2InHg4 (PBE, optimized geometry)
data_CaHo2InHg4
_chemical_formula_sum 'Ca3 Ho6 In3 Hg12'
_space_group_name_H-M_alt 'R -3 m'
_space_group_IT_number 166
_space_group_name_Hall '-R 3 2"'
_cell_length_a 5.1794
_cell_length_b 5.1794
_cell_length_c 25.8517
_cell_angle_alpha 90.00
_cell_angle_beta 90.00
_cell_angle_gamma 120.00
loop_
_atom_site_label
_atom_site_type_symbol
_atom_site_fract_x
_atom_site_fract_y
_atom_site_fract_z
Ca1 Ca 0.0000 0.0000 0.0000
Ho1 Ho 0.0000 0.0000 0.2441
In1 In 0.0000 0.0000 0.5000
Hg1 Hg 0.0000 0.0000 0.1215
Hg2 Hg 0.0000 0.0000 0.3700
# Formation energy from the elements   -0.4363 eV per atom
# Energy   -2.324 eV per atom

=====

# 20
# ScPBr2 (PBE, optimized geometry)
data_ScPBr2
_chemical_formula_sum 'Sc4 P4 Br8'
_space_group_name_H-M_alt 'I -4 2 d'
_space_group_IT_number 122
_space_group_name_Hall 'I -4 2bw'
_cell_length_a 9.7607
_cell_length_b 9.7607
_cell_length_c 5.2566
_cell_angle_alpha 90.00
_cell_angle_beta 90.00
_cell_angle_gamma 90.00
loop_
_atom_site_label
_atom_site_type_symbol
_atom_site_fract_x
_atom_site_fract_y
_atom_site_fract_z
Sc1 Sc 0.0000 0.0000 0.0000
P1 P 0.0000 0.0000 0.5000
Br1 Br 0.1009 0.2500 0.1250
# Energy   -4.409 eV per atom
# Energy relative to the elements, uncorrected   -0.64 eV per atom